Record 1
Compound: LaTm8Th2
Source: Alexandria via LeMat-Bulk
Functional: GGA-PBE
Structure: optimized geometry

Geometry as POSCAR:
```
LaTm8Th2
1.0
6.082 0.000 0.000
-1.063 7.846 0.000
-2.062 -2.692 7.182
La Tm Th
1 8 2
direct
0.000 0.000 0.000 La
0.181 0.635 0.724 Tm
0.268 0.459 0.088 Tm
0.360 0.273 0.458 Tm
0.448 0.092 0.812 Tm
0.552 0.908 0.188 Tm
0.640 0.727 0.542 Tm
0.732 0.541 0.912 Tm
0.819 0.365 0.276 Tm
0.091 0.818 0.369 Th
0.909 0.182 0.631 Th
```

Values from the calculation:
E, eV/f.u.: -55.17
Energy of formation from the pure elements, eV/atom: 0.03

Record 2
Compound: Lu2CuSi
Source: Alexandria via LeMat-Bulk
Functional: GGA-PBE
Structure: optimized geometry

Geometry as POSCAR:
```
Lu2CuSi
1.0
4.746 0.000 0.000
0.000 4.746 0.000
0.000 0.000 3.525
Lu Cu Si
2 1 1
direct
0.000 0.500 0.000 Lu
0.500 0.000 0.000 Lu
0.000 0.000 0.500 Cu
0.500 0.500 0.500 Si
```

Values from the calculation:
E, eV/f.u.: -20.29
Formation energy without anion corrections, meV/atom: -431

Q: Which value of E does entry 2 give?
A: -20.29 eV/f.u.

Q: Which value of E does entry 2 give?
A: -20.29 eV/f.u.

Q: What is the formula in the first record?
A: LaTm8Th2

Q: Which of these has the highest E?
A: Lu2CuSi